[1]
Entry from Alexandria via LeMat-Bulk: an optimized crystal structure of MgNiAs3 (PBE).

Cell: 4.684 4.684 4.684 Å, 90.00 90.00 90.00°
Space group Pm-3m (No. 221)
Inequivalent atoms, fractional coordinates:
Mg: 0.000 0.000 0.000 [1 per cell]
Ni: 0.500 0.500 0.500 [1 per cell]
As: 0.000 0.500 0.500 [3 per cell]

## Properties
Polymorph energy (0 for the lowest one) in meV/atom: 0
E_form in eV per atom: 0.2546
Density in g cm⁻³: 4.97
DOS(E_F) in states/eV per cell: 4.28

[2]
Entry from Alexandria via LeMat-Bulk: an optimized crystal structure of MgNi3As2 (PBE).

Cell: 15.625 3.701 9.314 Å, 90.00 106.24 90.00°
Space group C2/m (No. 12)
Inequivalent atoms, fractional coordinates:
Mg: 0.000 0.000 0.000 [2 per cell]
Mg: 0.162 0.000 0.707 [4 per cell]
Ni: 0.000 0.500 0.500 [2 per cell]
Ni: 0.044 0.000 0.324 [4 per cell]
Ni: 0.110 0.500 0.188 [4 per cell]
Ni: 0.183 0.500 0.966 [4 per cell]
Ni: 0.219 0.000 0.388 [4 per cell]
As: 0.045 0.500 0.783 [4 per cell]
As: 0.138 0.500 0.458 [4 per cell]
As: 0.194 0.000 0.131 [4 per cell]

## Properties
Polymorph energy (0 for the lowest one) in meV/atom: 0
E_form in eV per atom: -0.3654
Density in g cm⁻³: 6.75
DOS(E_F) in states/eV per cell: 19.37

[3]
Entry from Alexandria via LeMat-Bulk: an optimized crystal structure of MgNi3As2 (PBE).

Cell: 14.847 3.863 6.258 Å, 90.00 109.19 90.00°
Space group C2/m (No. 12)
Inequivalent atoms, fractional coordinates:
Mg: 0.119 0.000 0.146 [4 per cell]
Ni: 0.075 0.000 0.680 [4 per cell]
Ni: 0.145 0.500 0.483 [4 per cell]
Ni: 0.190 0.500 0.905 [4 per cell]
As: 0.012 0.500 0.779 [4 per cell]
As: 0.235 0.000 0.700 [4 per cell]

## Properties
Polymorph energy (0 for the lowest one) in meV/atom: 59
E_form in eV per atom: -0.3061
Density in g cm⁻³: 6.86
DOS(E_F) in states/eV per cell: 15.38

[4]
Entry from Alexandria via LeMat-Bulk: an optimized crystal structure of Mg2NiAs (PBE).

Cell: 6.427 6.427 6.427 Å, 90.00 90.00 90.00°
Space group F-43m (No. 216)
Inequivalent atoms, fractional coordinates:
Mg: 0.000 0.000 0.000 [4 per cell]
Mg: 0.250 0.250 0.250 [4 per cell]
Ni: 0.000 0.000 0.500 [4 per cell]
As: 0.250 0.250 0.750 [4 per cell]

## Properties
E_form in eV per atom: -0.0399
Density in g cm⁻³: 4.56
DOS(E_F) in states/eV per cell: 15.05